1.
BaCu2BiCl: optimized geometry, PBE-GGA.

a b c (Å): 5.830 5.830 5.582
angles (deg): 90.00 90.00 90.00
Element x y z (fractional)
Ba 0.000 0.000 0.000
Cu 0.000 0.500 0.000
Cu 0.500 0.000 0.000
Bi 0.500 0.500 0.500
Cl 0.000 0.000 0.500

Summary:
Excess energy over the best structure of this formula in the dataset (kcal/mol of atoms): 7.34


2.
BaCu2BiCl: optimized geometry, PBE-GGA.

a b c (Å): 4.974 4.974 5.910
angles (deg): 90.00 90.00 90.00
Element x y z (fractional)
Ba 0.000 0.000 0.000
Cu 0.000 0.500 0.500
Cu 0.500 0.000 0.500
Bi 0.500 0.500 0.000
Cl 0.500 0.500 0.500

Summary:
Excess energy over the best structure of this formula in the dataset (kcal/mol of atoms): 0.00